Density functional theory data (PBE) for Nd4PClO8 after structural relaxation.

- electronic total energy (eV per cell) = -219.50
- volume (A^3/atom) = 15.57
- M_tot (μB/f.u.) = 0.00

a = 12.950 Å, b = 5.831 Å, c = 5.773 Å
α = 90.00°, β = 90.00°, γ = 90.00°
Positions (direct):
Cl1 0.000 0.050 0.002
Cl2 0.500 0.950 0.502
Nd1 0.161 0.019 0.439
Nd2 0.839 0.019 0.439
Nd3 0.332 0.512 0.469
Nd4 0.668 0.512 0.469
Nd5 0.339 0.981 0.939
Nd6 0.661 0.981 0.939
Nd7 0.168 0.488 0.969
Nd8 0.832 0.488 0.969
O1 0.270 0.243 0.200
O2 0.730 0.243 0.200
O3 0.250 0.758 0.207
O4 0.750 0.758 0.207
O5 0.500 0.499 0.263
O6 0.096 0.433 0.384
O7 0.904 0.433 0.384
O8 0.000 0.805 0.456
O9 0.230 0.757 0.700
O10 0.770 0.757 0.700
O11 0.250 0.242 0.707
O12 0.750 0.242 0.707
O13 0.000 0.501 0.763
O14 0.404 0.567 0.884
O15 0.596 0.567 0.884
O16 0.500 0.195 0.956
P1 0.000 0.542 0.497
P2 0.500 0.458 0.997

***

Density functional theory data (PBE) for Nd5Pb2Cl3O10 after structural relaxation.

- electronic total energy (eV per cell) = -133.32
- volume (A^3/atom) = 18.39
- M_tot (μB/f.u.) = 0.00

a = 6.881 Å, b = 6.881 Å, c = 10.148 Å
α = 90.62°, β = 90.62°, γ = 49.97°
Positions (direct):
Cl1 0.112 0.112 0.387
Cl2 0.500 0.500 0.500
Cl3 0.888 0.888 0.613
Nd1 0.000 0.000 0.000
Nd2 0.298 0.298 0.094
Nd3 0.590 0.590 0.238
Nd4 0.410 0.410 0.762
Nd5 0.702 0.702 0.906
O1 0.896 0.401 0.074
O2 0.401 0.896 0.074
O3 0.684 0.190 0.191
O4 0.190 0.684 0.191
O5 0.744 0.744 0.353
O6 0.256 0.256 0.647
O7 0.810 0.316 0.809
O8 0.316 0.810 0.809
O9 0.599 0.104 0.926
O10 0.104 0.599 0.926
Pb1 0.903 0.903 0.334
Pb2 0.097 0.097 0.666

***

Density functional theory data (PBE) for Nd5Pd2Cl3O10 after structural relaxation.

- electronic total energy (eV per cell) = -131.90
- volume (A^3/atom) = 17.16
- M_tot (μB/f.u.) = 0.00

a = 6.841 Å, b = 6.841 Å, c = 9.818 Å
α = 91.98°, β = 91.98°, γ = 48.39°
Positions (direct):
Cl1 0.500 0.500 0.000
Cl2 0.874 0.874 0.109
Cl3 0.126 0.126 0.891
Nd1 0.392 0.392 0.255
Nd2 0.701 0.701 0.392
Nd3 0.000 0.000 0.500
Nd4 0.299 0.299 0.608
Nd5 0.608 0.608 0.745
O1 0.220 0.220 0.189
O2 0.806 0.295 0.298
O3 0.295 0.806 0.298
O4 0.597 0.103 0.432
O5 0.103 0.597 0.432
O6 0.897 0.403 0.568
O7 0.403 0.897 0.568
O8 0.705 0.194 0.702
O9 0.194 0.705 0.702
O10 0.780 0.780 0.811
Pd1 0.070 0.070 0.159
Pd2 0.930 0.930 0.841

***

Density functional theory data (PBE) for PmNdCl2O2 after structural relaxation.

- electronic total energy (eV per cell) = -41.37
- volume (A^3/atom) = 18.33
- M_tot (μB/f.u.) = 0.00

a = 4.032 Å, b = 4.032 Å, c = 6.766 Å
α = 90.00°, β = 90.00°, γ = 90.00°
Positions (direct):
Cl1 0.500 0.500 0.372
Cl2 0.000 0.000 0.627
Nd1 0.500 0.500 0.825
O1 0.500 0.000 0.002
O2 0.000 0.500 0.002
Pm1 0.000 0.000 0.173